Density functional theory data (PBE-GGA) for crystalline KMg2NpCl8 at its relaxed geometry.

Cell lengths 6.459, 6.563, 8.919 Å; angles 79.96, 80.89, 80.22 degrees
Fractional positions:
K  0.000  0.000  0.000
Mg  0.461  0.453  0.209
Mg  0.539  0.547  0.791
Np  0.000  0.000  0.500
Cl  0.186  0.732  0.734
Cl  0.220  0.769  0.280
Cl  0.303  0.254  0.450
Cl  0.355  0.309  0.008
Cl  0.645  0.691  0.992
Cl  0.697  0.746  0.550
Cl  0.780  0.231  0.720
Cl  0.814  0.268  0.266

For the formation energy (no corrections), the calculation gives -2058 kJ/mol of formula units. The calculation puts the volume at 363.6 Å³ per cell.